Below is a relaxed YBeAs crystal, with properties calculated at the PBE level.

Unit cell a=5.506 b=5.506 c=5.506 alpha=144.66 beta=144.66 gamma=50.84
Fractional coordinates of all 3 atoms:
Y: 0.000 0.000 0.000
Be: 0.702 0.702 0.000
As: 0.291 0.291 0.000

Summary:
Energy relative to the elements in eV per atom: -0.249
VASP energy in eV/atom: -5.20
Total magnetic moment in μB/cell: 0.0